(1)
Compound: CaMgTcH2
Source: the Alexandria database
Functional: PBE
Structure: optimized geometry

Output
Relative energy among the computed polymorphs (meV per atom): 83.1
N(E_F) (states/eV per atom): 0.5595
Electronic total energy (eV per atom): -4.18

a = 3.121 Å, b = 4.997 Å, c = 8.556 Å
α = 90.00°, β = 90.00°, γ = 90.00°
Fractional coordinates of all 10 atoms:
Mg 0.000 0.500 0.328
Mg 0.000 0.000 0.828
H 0.500 0.797 0.462
H 0.500 0.297 0.962
H 0.500 0.203 0.462
H 0.500 0.703 0.962
Tc 0.000 0.000 0.495
Tc 0.000 0.500 0.995
Ca 0.500 0.500 0.671
Ca 0.500 0.000 0.171

(2)
Compound: BaCrNi2
Source: the Alexandria database
Functional: PBE
Structure: optimized geometry

Output
Relative energy among the computed polymorphs (meV per atom): 386.8
N(E_F) (states/eV per atom): 1.4462
Formation energy from the elements (eV/atom): 0.586
Electronic total energy (eV per atom): -5.19

a = 3.217 Å, b = 3.217 Å, c = 7.298 Å
α = 90.00°, β = 90.00°, γ = 90.01°
Last column: magnetic moment on the atom in μB.
Fractional coordinates of all 4 atoms:
Ba 0.000 0.000 0.475  0.03
Ni 0.000 0.000 0.001  -0.09
Ni 0.500 0.500 0.172  0.08
Cr 0.500 0.500 0.853  2.91

electronic total energy of number 2 (BaCrNi2)? -5.19 eV per atom

Among the records above, which one has the lowest electronic total energy? BaCrNi2